[1]
The following is a DFT calculation (PBE) of a relaxed structure of SiB2C3.

Properties
ρ   2.811 Mg/m³
Excess energy over the best structure of this formula in the dataset   160 meV per atom
M_tot   0.000 μB/f.u.
SG   No. 1
Raw formation energy   359 meV/atom
Electronic total energy   -7.382 eV per atom

a = 2.824 Å, b = 3.971 Å, c = 5.040 Å
α = 89.10°, β = 74.03°, γ = 69.36°
Fractional coordinates of all 6 atoms:
1 Si 0.603 0.005 0.709
2 B 0.707 0.389 0.118
3 B 0.981 0.544 0.414
4 C 0.529 0.378 0.484
5 C 0.991 0.981 0.961
6 C 0.100 0.636 0.091

=====

[2]
The following is a DFT calculation (PBE) of a relaxed structure of SiBC.

Properties
ρ   3.080 Mg/m³
Excess energy over the best structure of this formula in the dataset   0 meV per atom
M_tot   0.000 μB/f.u.
SG   No. 1
Raw formation energy   154 meV/atom
Electronic total energy   -6.954 eV per atom

a = 3.089 Å, b = 4.016 Å, c = 4.663 Å
α = 104.76°, β = 96.39°, γ = 97.16°
Fractional coordinates of all 6 atoms:
1 Si 0.578 0.225 0.019
2 Si 0.990 0.582 0.651
3 B 0.779 0.729 0.269
4 B 0.340 0.944 0.376
5 C 0.028 0.934 0.035
6 C 0.442 0.303 0.639